a) NaHg2Pb5: optimized geometry, PBE.

Lattice parameters (Å, degrees): 7.003 13.866 4.784 90.00 90.00 90.00
Atoms (fractional coordinates):
Na 0.000 0.000 0.000
Na 0.500 0.500 0.000
Hg 0.237 0.119 0.500
Hg 0.263 0.619 0.500
Hg 0.737 0.381 0.500
Hg 0.763 0.881 0.500
Pb 0.000 0.500 0.000
Pb 0.004 0.749 0.000
Pb 0.243 0.372 0.500
Pb 0.257 0.872 0.500
Pb 0.496 0.249 0.000
Pb 0.500 0.000 0.000
Pb 0.504 0.751 0.000
Pb 0.743 0.128 0.500
Pb 0.757 0.628 0.500
Pb 0.996 0.251 0.000

* space group: Pbam (55)
* DOS at the Fermi energy: 3.50 states/eV/f.u.
* crystal system: orthorhombic

b) NaHg2Pb5: optimized geometry, PBE.

Lattice parameters (Å, degrees): 6.700 6.700 6.700 110.36 110.36 107.70
Atoms (fractional coordinates):
Na 0.000 0.000 0.000
Hg 0.499 0.999 0.500
Hg 0.999 0.499 0.500
Pb 0.498 0.498 0.000
Pb 0.500 0.500 0.501
Pb 0.500 0.999 0.000
Pb 0.999 0.500 0.000
Pb 0.999 0.999 0.499

* space group: I4mm (107)
* DOS at the Fermi energy: 3.50 states/eV/f.u.
* crystal system: tetragonal

Most stable = a)

a) Na2Hg3Pb2: optimized geometry, PBE.

Lattice parameters (Å, degrees): 5.924 5.924 8.475 110.62 110.62 48.49
Atoms (fractional coordinates):
Na 0.006 0.006 0.271
Na 0.994 0.994 0.729
Hg 0.264 0.264 0.621
Hg 0.500 0.500 0.000
Hg 0.736 0.736 0.379
Pb 0.270 0.270 0.137
Pb 0.730 0.730 0.863

* space group: C2/m (12)
* DOS at the Fermi energy: 2.29 states/eV/f.u.
* crystal system: monoclinic

b) Na2Hg3Pb2: optimized geometry, PBE.

Lattice parameters (Å, degrees): 5.596 5.596 8.060 106.09 106.09 54.11
Atoms (fractional coordinates):
Na 0.074 0.074 0.239
Na 0.926 0.926 0.761
Hg 0.216 0.216 0.641
Hg 0.500 0.500 0.500
Hg 0.784 0.784 0.359
Pb 0.354 0.354 0.058
Pb 0.646 0.646 0.942

* space group: C2/m (12)
* DOS at the Fermi energy: 2.65 states/eV/f.u.
* crystal system: monoclinic

Most stable = b)

a) Na4Hg4Pb: optimized geometry, PBE.

Lattice parameters (Å, degrees): 9.093 5.547 11.727 90.00 125.58 90.00
Atoms (fractional coordinates):
Na 0.129 0.249 0.036
Na 0.129 0.751 0.536
Na 0.247 0.252 0.809
Na 0.247 0.748 0.309
Na 0.753 0.252 0.691
Na 0.753 0.748 0.191
Na 0.871 0.249 0.464
Na 0.871 0.751 0.964
Hg 0.329 0.251 0.580
Hg 0.329 0.749 0.080
Hg 0.458 0.248 0.367
Hg 0.458 0.752 0.867
Hg 0.542 0.248 0.133
Hg 0.542 0.752 0.633
Hg 0.671 0.251 0.920
Hg 0.671 0.749 0.420
Pb 0.000 0.248 0.250
Pb 0.000 0.752 0.750

* space group: P2/c (13)
* DOS at the Fermi energy: 2.61 states/eV/f.u.
* crystal system: monoclinic

b) Na4Hg4Pb: optimized geometry, PBE.

Lattice parameters (Å, degrees): 9.107 9.107 6.040 90.00 90.00 90.00
Atoms (fractional coordinates):
Na 0.078 0.827 0.116
Na 0.173 0.578 0.616
Na 0.327 0.922 0.616
Na 0.422 0.673 0.116
Na 0.578 0.327 0.884
Na 0.673 0.078 0.384
Na 0.827 0.422 0.384
Na 0.922 0.173 0.884
Hg 0.043 0.146 0.366
Hg 0.146 0.457 0.134
Hg 0.354 0.043 0.134
Hg 0.457 0.354 0.366
Hg 0.543 0.646 0.634
Hg 0.646 0.957 0.866
Hg 0.854 0.543 0.866
Hg 0.957 0.854 0.634
Pb 0.250 0.250 0.750
Pb 0.750 0.750 0.250

* space group: P4_2/n (86)
* DOS at the Fermi energy: 4.35 states/eV/f.u.
* crystal system: tetragonal

Most stable = a)

a) NaHgPdPb2: optimized geometry, PBE.

Lattice parameters (Å, degrees): 5.502 5.502 4.819 90.00 90.00 90.00
Atoms (fractional coordinates):
Na 0.000 0.000 0.000
Hg 0.500 0.500 0.500
Pd 0.000 0.000 0.500
Pb 0.000 0.500 0.000
Pb 0.500 0.000 0.000

* space group: P4/mmm (123)
* DOS at the Fermi energy: 3.20 states/eV/f.u.
* crystal system: tetragonal

b) NaHgPdPb2: optimized geometry, PBE.

Lattice parameters (Å, degrees): 5.385 5.385 5.357 90.00 90.00 90.00
Atoms (fractional coordinates):
Na 0.000 0.000 0.000
Hg 0.500 0.500 0.000
Pd 0.500 0.500 0.500
Pb 0.000 0.500 0.500
Pb 0.500 0.000 0.500

* space group: P4/mmm (123)
* DOS at the Fermi energy: 2.70 states/eV/f.u.
* crystal system: tetragonal

Most stable = b)

a) NaPuHgPb: optimized geometry, PBE.

Lattice parameters (Å, degrees): 5.351 5.351 5.351 60.00 60.00 60.00
Atoms (fractional coordinates):
Na 0.000 0.000 0.000
Pu 0.500 0.500 0.500
Hg 0.750 0.750 0.750
Pb 0.250 0.250 0.250

* space group: F-43m (216)
* DOS at the Fermi energy: 13.37 states/eV/f.u.
* crystal system: cubic

b) NaPuHgPb: optimized geometry, PBE.

Lattice parameters (Å, degrees): 3.415 3.415 9.209 90.00 90.00 90.00
Atoms (fractional coordinates):
Na 0.000 0.000 0.000
Pu 0.000 0.000 0.479
Hg 0.500 0.500 0.238
Pb 0.500 0.500 0.743

* space group: P4mm (99)
* DOS at the Fermi energy: 6.61 states/eV/f.u.
* crystal system: tetragonal

Most stable = b)

a) RbNa2HgPb: optimized geometry, PBE.

Lattice parameters (Å, degrees): 5.924 5.924 5.881 90.00 90.00 90.00
Atoms (fractional coordinates):
Rb 0.000 0.000 0.000
Na 0.000 0.500 0.500
Na 0.500 0.000 0.500
Hg 0.500 0.500 0.500
Pb 0.500 0.500 0.000

* space group: P4/mmm (123)
* DOS at the Fermi energy: 4.22 states/eV/f.u.
* crystal system: tetragonal

b) RbNa2HgPb: optimized geometry, PBE.

Lattice parameters (Å, degrees): 6.036 6.036 6.093 90.00 90.00 90.00
Atoms (fractional coordinates):
Rb 0.000 0.000 0.000
Na 0.000 0.500 0.500
Na 0.500 0.000 0.500
Hg 0.500 0.500 0.000
Pb 0.500 0.500 0.500

* space group: P4/mmm (123)
* DOS at the Fermi energy: 3.09 states/eV/f.u.
* crystal system: tetragonal

Most stable = b)

a) NaScHgPb: optimized geometry, PBE.

Lattice parameters (Å, degrees): 3.571 3.571 7.876 90.00 90.00 90.00
Atoms (fractional coordinates):
Na 0.000 0.000 0.000
Sc 0.000 0.000 0.535
Hg 0.500 0.500 0.742
Pb 0.500 0.500 0.283

* space group: P4mm (99)
* DOS at the Fermi energy: 2.77 states/eV/f.u.
* crystal system: tetragonal

b) NaScHgPb: optimized geometry, PBE.

Lattice parameters (Å, degrees): 5.153 5.153 5.153 60.00 60.00 60.00
Atoms (fractional coordinates):
Na 0.000 0.000 0.000
Sc 0.500 0.500 0.500
Hg 0.250 0.250 0.250
Pb 0.750 0.750 0.750

* space group: F-43m (216)
* DOS at the Fermi energy: 1.46 states/eV/f.u.
* crystal system: cubic

Most stable = a)

a) NaSnHgPb: optimized geometry, PBE.

Lattice parameters (Å, degrees): 5.996 5.996 4.623 111.84 111.84 45.68
Atoms (fractional coordinates):
Na 0.000 0.000 0.000
Sn 0.251 0.251 0.750
Hg 0.499 0.499 0.500
Pb 0.749 0.749 0.248

* space group: Cm (8)
* DOS at the Fermi energy: 1.39 states/eV/f.u.
* crystal system: monoclinic

b) NaSnHgPb: optimized geometry, PBE.

Lattice parameters (Å, degrees): 5.379 5.379 5.379 60.00 60.00 60.00
Atoms (fractional coordinates):
Na 0.000 0.000 0.000
Sn 0.500 0.500 0.500
Hg 0.250 0.250 0.250
Pb 0.750 0.750 0.750

* space group: F-43m (216)
* DOS at the Fermi energy: 3.91 states/eV/f.u.
* crystal system: cubic

Most stable = a)

a) Na2HgPd2: optimized geometry, PBE.

Lattice parameters (Å, degrees): 6.972 6.972 4.437 90.00 90.00 90.00
Atoms (fractional coordinates):
Na 0.167 0.333 0.000
Na 0.333 0.833 0.000
Na 0.667 0.167 0.000
Na 0.833 0.667 0.000
Hg 0.000 0.000 0.500
Hg 0.500 0.500 0.500
Pd 0.135 0.635 0.500
Pd 0.365 0.135 0.500
Pd 0.635 0.865 0.500
Pd 0.865 0.365 0.500

* space group: P4/mbm (127)
* DOS at the Fermi energy: 1.10 states/eV/f.u.
* crystal system: tetragonal

b) Na2HgPd2: optimized geometry, PBE.

Lattice parameters (Å, degrees): 7.512 7.512 7.512 150.63 150.63 42.01
Atoms (fractional coordinates):
Na 0.250 0.750 0.500
Na 0.750 0.250 0.500
Hg 0.000 0.000 0.000
Pd 0.406 0.406 0.000
Pd 0.594 0.594 0.000

* space group: I4/mmm (139)
* DOS at the Fermi energy: 1.77 states/eV/f.u.
* crystal system: tetragonal

Most stable = a)

a) Na2Hg2Pd: optimized geometry, PBE.

Lattice parameters (Å, degrees): 7.244 7.244 4.679 90.00 90.00 90.00
Atoms (fractional coordinates):
Na 0.172 0.328 0.000
Na 0.328 0.828 0.000
Na 0.672 0.172 0.000
Na 0.828 0.672 0.000
Hg 0.146 0.646 0.500
Hg 0.354 0.146 0.500
Hg 0.646 0.854 0.500
Hg 0.854 0.354 0.500
Pd 0.000 0.000 0.500
Pd 0.500 0.500 0.500

* space group: P4/mbm (127)
* DOS at the Fermi energy: 2.05 states/eV/f.u.
* crystal system: tetragonal

b) Na2Hg2Pd: optimized geometry, PBE.

Lattice parameters (Å, degrees): 7.862 7.862 7.862 150.78 150.78 41.80
Atoms (fractional coordinates):
Na 0.250 0.750 0.500
Na 0.750 0.250 0.500
Hg 0.094 0.094 0.000
Hg 0.906 0.906 0.000
Pd 0.500 0.500 0.000

* space group: I4/mmm (139)
* DOS at the Fermi energy: 1.89 states/eV/f.u.
* crystal system: tetragonal

c) Na2Hg2Pd: optimized geometry, PBE.

Lattice parameters (Å, degrees): 11.735 11.735 11.735 156.94 156.94 32.84
Atoms (fractional coordinates):
Na 0.054 0.304 0.750
Na 0.304 0.054 0.250
Na 0.696 0.946 0.750
Na 0.946 0.696 0.250
Hg 0.195 0.445 0.750
Hg 0.445 0.195 0.250
Hg 0.555 0.805 0.750
Hg 0.805 0.555 0.250
Pd 0.375 0.625 0.750
Pd 0.625 0.375 0.250

* space group: I4_1/amd (141)
* DOS at the Fermi energy: 2.02 states/eV/f.u.
* crystal system: tetragonal

d) Na2Hg2Pd: optimized geometry, PBE.

Lattice parameters (Å, degrees): 4.848 4.848 5.883 113.47 113.47 60.46
Atoms (fractional coordinates):
Na 0.198 0.198 0.094
Na 0.802 0.802 0.906
Hg 0.391 0.391 0.673
Hg 0.609 0.609 0.327
Pd 0.000 0.000 0.500

* space group: C2/m (12)
* DOS at the Fermi energy: 1.34 states/eV/f.u.
* crystal system: monoclinic

Most stable = d)

a) Na4Hg4Pd: optimized geometry, PBE.

Lattice parameters (Å, degrees): 7.108 7.108 7.108 111.35 111.35 105.78
Atoms (fractional coordinates):
Na 0.000 0.500 0.500
Na 0.177 0.177 0.000
Na 0.500 0.000 0.500
Na 0.823 0.823 0.000
Hg 0.164 0.626 0.000
Hg 0.374 0.374 0.538
Hg 0.626 0.164 0.000
Hg 0.836 0.836 0.462
Pd 0.500 0.500 0.000

* space group: I-42m (121)
* DOS at the Fermi energy: 4.63 states/eV/f.u.
* crystal system: tetragonal

b) Na4Hg4Pd: optimized geometry, PBE.

Lattice parameters (Å, degrees): 5.675 6.436 6.522 75.27 83.64 81.10
Atoms (fractional coordinates):
Na 0.186 0.140 0.270
Na 0.276 0.682 0.100
Na 0.724 0.318 0.900
Na 0.814 0.860 0.730
Hg 0.265 0.139 0.758
Hg 0.359 0.688 0.611
Hg 0.641 0.312 0.389
Hg 0.735 0.861 0.242
Pd 0.000 0.500 0.500

* space group: P-1 (2)
* DOS at the Fermi energy: 3.82 states/eV/f.u.
* crystal system: triclinic

Most stable = b)